No. 1
# TaMo2Br (GGA-PBE, optimized geometry)
data_TaMo2Br
_space_group_name_H-M_alt 'P m m m'
_space_group_IT_number 47
_space_group_name_Hall '-P 2 2'
_cell_length_a 3.1877
_cell_length_b 3.2315
_cell_length_c 7.5659
_cell_angle_alpha 90.00
_cell_angle_beta 90.00
_cell_angle_gamma 90.00
loop_
_atom_site_label
_atom_site_fract_x
_atom_site_fract_y
_atom_site_fract_z
Ta1 0.0000 0.0000 0.0000
Mo1 0.5000 0.5000 0.2016
Br1 0.0000 0.5000 0.5000
# - Energy above the lowest structure with this stoichiometry: 0.494 kcal/mol of atoms
# - Crystal system: orthorhombic
# - Raw formation energy: 0.38 eV/atom
# - Fermi-level density of states: 1.195 states/eV per atom
# - VASP energy: -8.420 eV/atom

***

No. 2
# TaMo2Br (GGA-PBE, optimized geometry)
data_TaMo2Br
_space_group_name_H-M_alt 'R -3 m'
_space_group_IT_number 166
_space_group_name_Hall '-R 3 2"'
_cell_length_a 3.1351
_cell_length_b 3.1351
_cell_length_c 25.3774
_cell_angle_alpha 90.00
_cell_angle_beta 90.00
_cell_angle_gamma 120.00
loop_
_atom_site_label
_atom_site_fract_x
_atom_site_fract_y
_atom_site_fract_z
Ta1 0.0000 0.0000 0.0000
Mo1 0.0000 0.0000 0.2539
Br1 0.0000 0.0000 0.5000
# - Energy above the lowest structure with this stoichiometry: 2.752 kcal/mol of atoms
# - Crystal system: trigonal
# - Raw formation energy: 0.48 eV/atom
# - Fermi-level density of states: 0.897 states/eV per atom
# - VASP energy: -8.322 eV/atom

***

No. 3
# Ta2MoBr (GGA-PBE, optimized geometry)
data_Ta2MoBr
_space_group_name_H-M_alt 'R -3 m'
_space_group_IT_number 166
_space_group_name_Hall '-R 3 2"'
_cell_length_a 3.1869
_cell_length_b 3.1869
_cell_length_c 25.6140
_cell_angle_alpha 90.00
_cell_angle_beta 90.00
_cell_angle_gamma 120.00
loop_
_atom_site_label
_atom_site_fract_x
_atom_site_fract_y
_atom_site_fract_z
Ta1 0.0000 0.0000 0.2429
Mo1 0.0000 0.0000 0.5000
Br1 0.0000 0.0000 0.0000
# - Energy above the lowest structure with this stoichiometry: 0.752 kcal/mol of atoms
# - Crystal system: trigonal
# - Raw formation energy: 0.31 eV/atom
# - Fermi-level density of states: 0.724 states/eV per atom
# - VASP energy: -8.746 eV/atom

***

No. 4
# Ta3MoBr (GGA-PBE, optimized geometry)
data_Ta3MoBr
_space_group_name_H-M_alt 'P m -3 m'
_space_group_IT_number 221
_space_group_name_Hall '-P 4 2 3'
_cell_length_a 4.9145
_cell_length_b 4.9145
_cell_length_c 4.9145
_cell_angle_alpha 90.00
_cell_angle_beta 90.00
_cell_angle_gamma 90.00
loop_
_atom_site_label
_atom_site_fract_x
_atom_site_fract_y
_atom_site_fract_z
Ta1 0.0000 0.0000 0.5000
Mo1 0.0000 0.0000 0.0000
Br1 0.5000 0.5000 0.5000
# - Energy above the lowest structure with this stoichiometry: 0.000 kcal/mol of atoms
# - Crystal system: cubic
# - Raw formation energy: 1.57 eV/atom
# - Fermi-level density of states: 1.638 states/eV per atom
# - VASP energy: -8.043 eV/atom

***

No. 5
# Ta2MoBr (GGA-PBE, optimized geometry)
data_Ta2MoBr
_space_group_name_H-M_alt 'C m m m'
_space_group_IT_number 65
_space_group_name_Hall '-C 2 2'
_cell_length_a 3.2622
_cell_length_b 5.1285
_cell_length_c 8.9329
_cell_angle_alpha 90.00
_cell_angle_beta 90.00
_cell_angle_gamma 90.00
loop_
_atom_site_label
_atom_site_fract_x
_atom_site_fract_y
_atom_site_fract_z
Ta1 0.0000 0.0000 0.2322
Mo1 0.0000 0.5000 0.0000
Br1 0.0000 0.5000 0.5000
# - Energy above the lowest structure with this stoichiometry: 0.287 kcal/mol of atoms
# - Crystal system: orthorhombic
# - Raw formation energy: 0.29 eV/atom
# - Fermi-level density of states: 0.802 states/eV per atom
# - VASP energy: -8.766 eV/atom

***

No. 6
# TaMoBr3 (GGA-PBE, optimized geometry)
data_TaMoBr3
_space_group_name_H-M_alt 'P m -3 m'
_space_group_IT_number 221
_space_group_name_Hall '-P 4 2 3'
_cell_length_a 5.1959
_cell_length_b 5.1959
_cell_length_c 5.1959
_cell_angle_alpha 90.00
_cell_angle_beta 90.00
_cell_angle_gamma 90.00
loop_
_atom_site_label
_atom_site_fract_x
_atom_site_fract_y
_atom_site_fract_z
Ta1 0.0000 0.0000 0.0000
Mo1 0.5000 0.5000 0.5000
Br1 0.0000 0.0000 0.5000
# - Energy above the lowest structure with this stoichiometry: 0.000 kcal/mol of atoms
# - Crystal system: cubic
# - Raw formation energy: 0.85 eV/atom
# - Fermi-level density of states: 0.845 states/eV per atom
# - VASP energy: -4.691 eV/atom